Computed, not measured: crystalline Ti2TlV2 at its relaxed geometry at the PBE-GGA level of DFT.

For the energy above the most stable polymorph in this dataset, the calculation gives 0.00 kJ/mol of atoms. Its total moment is 0.00 Bohr magnetons per cell. As for the total energy: -7.09 eV/atom. The calculation puts the formation energy at 0.184 eV/atom.

The space group is P4/mbm (No. 127) and the conventional cell measures 7.0545, 7.0545 and 3.4233 Å, with angles of 90.00, 90.00 and 90.00 degrees. The distinct sites, in fractional coordinates, are Ti at (0.1737, 0.3263, 0.0000), Tl at (0.0000, 0.0000, 0.5000) and V at (0.1157, 0.6157, 0.5000).

***

Computed, not measured: crystalline Ti2TlV2 at its relaxed geometry at the PBE-GGA level of DFT.

For the energy above the most stable polymorph in this dataset, the calculation gives 29.04 kJ/mol of atoms. Its total moment is 0.00 Bohr magnetons per cell. As for the total energy: -6.79 eV/atom. The calculation puts the formation energy at 0.485 eV/atom.

The space group is I4/mmm (No. 139) and the conventional cell measures 3.3249, 3.3249 and 16.7949 Å, with angles of 90.00, 90.00 and 90.00 degrees. The distinct sites, in fractional coordinates, are Ti at (0.0000, 0.0000, 0.1198), Tl at (0.0000, 0.0000, 0.5000) and V at (0.0000, 0.5000, 0.2500).

***

Computed, not measured: crystalline Ti2TlV2 at its relaxed geometry at the PBE-GGA level of DFT.

For the energy above the most stable polymorph in this dataset, the calculation gives 14.49 kJ/mol of atoms. Its total moment is 0.00 Bohr magnetons per cell. As for the total energy: -6.94 eV/atom. The calculation puts the formation energy at 0.334 eV/atom.

The space group is P4/mbm (No. 127) and the conventional cell measures 7.1545, 7.1545 and 3.3419 Å, with angles of 90.00, 90.00 and 90.00 degrees. The distinct sites, in fractional coordinates, are Ti at (0.1290, 0.3710, 0.0000), Tl at (0.0000, 0.0000, 0.0000) and V at (0.1661, 0.6661, 0.5000).

***

Computed, not measured: crystalline Ti2TlV at its relaxed geometry at the PBE-GGA level of DFT.

For the energy above the most stable polymorph in this dataset, the calculation gives 15.57 kJ/mol of atoms. Its total moment is 2.78 Bohr magnetons per cell. As for the total energy: -6.64 eV/atom. The calculation puts the formation energy at 0.182 eV/atom.

The space group is Fm-3m (No. 225) and the conventional cell measures 6.5303, 6.5303 and 6.5303 Å, with angles of 90.00, 90.00 and 90.00 degrees. The distinct sites, in fractional coordinates, are Ti at (0.2500, 0.2500, 0.2500), Tl at (0.0000, 0.0000, 0.0000) and V at (0.0000, 0.0000, 0.5000).

***

Computed, not measured: crystalline Ti2TlV at its relaxed geometry at the PBE-GGA level of DFT.

For the energy above the most stable polymorph in this dataset, the calculation gives 12.02 kJ/mol of atoms. Its total moment is 1.07 Bohr magnetons per cell. As for the total energy: -6.67 eV/atom. The calculation puts the formation energy at 0.146 eV/atom.

The space group is P4/mmm (No. 123) and the conventional cell measures 4.2491, 4.2491 and 3.8737 Å, with angles of 90.00, 90.00 and 90.00 degrees. The distinct sites, in fractional coordinates, are Ti at (0.0000, 0.5000, 0.0000), Tl at (0.0000, 0.0000, 0.5000) and V at (0.5000, 0.5000, 0.5000).

***

Computed, not measured: crystalline Ti6Tl3V at its relaxed geometry at the PBE-GGA level of DFT.

Its total moment is 3.37 Bohr magnetons per cell. As for the total energy: -6.09 eV/atom. The calculation puts the formation energy at 0.268 eV/atom.

The space group is C2/m (No. 12) and the conventional cell measures 10.2634, 5.2160 and 7.7163 Å, with angles of 90.00, 109.60 and 90.00 degrees. The distinct sites, in fractional coordinates, are Ti at (0.1116, 0.0000, 0.4190), Ti at (0.1429, 0.2429, 0.8270), Tl at (0.0000, 0.5000, 0.5000), Tl at (0.1205, 0.5000, 0.1916) and V at (0.0000, 0.0000, 0.0000).

***

Computed, not measured: crystalline Ti7TlV2 at its relaxed geometry at the PBE-GGA level of DFT.

Its total moment is 0.00 Bohr magnetons per cell. As for the total energy: -6.96 eV/atom. The calculation puts the formation energy at 0.626 eV/atom.

The space group is Cmmm (No. 65) and the conventional cell measures 6.9807, 12.7071 and 4.5087 Å, with angles of 90.00, 90.00 and 90.00 degrees. The distinct sites, in fractional coordinates, are Ti at (0.0000, 0.0000, 0.0000), Ti at (0.0000, 0.2176, 0.5000), Ti at (0.1827, 0.3862, 0.0000), Tl at (0.0000, 0.5000, 0.5000) and V at (0.0000, 0.2141, 0.0000).

***

Computed, not measured: crystalline Ti2TlV at its relaxed geometry at the PBE-GGA level of DFT.

For the energy above the most stable polymorph in this dataset, the calculation gives 57.80 kJ/mol of atoms. Its total moment is 0.00 Bohr magnetons per cell. As for the total energy: -6.20 eV/atom. The calculation puts the formation energy at 0.620 eV/atom.

The space group is I-42d (No. 122) and the conventional cell measures 3.9093, 3.9093 and 19.6810 Å, with angles of 90.00, 90.00 and 90.00 degrees. The distinct sites, in fractional coordinates, are Ti at (0.2360, 0.2500, 0.1250), Tl at (0.0000, 0.0000, 0.5000) and V at (0.0000, 0.0000, 0.0000).

***

no.,DOS(E_F) (states/eV/f.u.)
1,5.619
2,5.480
3,4.639
4,6.007
5,5.062
6,11.373
7,12.705
8,4.690